The following is a DFT calculation (PBEsol) of a relaxed structure of AlGeH2Au.

Cell: 3.611 3.611 5.305 Å, 90.00 90.00 90.00°
Space group P4/mmm (No. 123)
Inequivalent atoms, fractional coordinates:
Al1 0.000 0.000 0.000
Ge1 0.500 0.500 0.500
H1 0.000 0.500 0.500
Au1 0.500 0.500 0.000

* E: -18.67 eV per cell

---

The following is a DFT calculation (PBEsol) of a relaxed structure of NdAl4Ge2Au.

Cell: 4.2194 4.2194 31.1536 Å, 90.00 90.00 120.00°
Space group R-3m (No. 166, hexagonal axes)
Inequivalent atoms, fractional coordinates:
Nd1 0.0000 0.0000 0.0000
Al1 0.0000 0.0000 0.1921
Al2 0.0000 0.0000 0.4171
Ge1 0.0000 0.0000 0.2762
Au1 0.0000 0.0000 0.5000

* E: -117.42 eV per cell
* formation energy: -0.4757 eV/atom

---

The following is a DFT calculation (PBEsol) of a relaxed structure of AlGe2SbAu.

Cell: 4.981 4.981 4.797 Å, 90.00 90.00 90.00°
Space group P4/mmm (No. 123)
Inequivalent atoms, fractional coordinates:
Al1 0.000 0.000 0.000
Ge1 0.000 0.500 0.500
Sb1 0.500 0.500 0.000
Au1 0.000 0.000 0.500

* E: -20.43 eV per cell
* ΔE_f (raw): 0.40 eV per atom

---

The following is a DFT calculation (PBEsol) of a relaxed structure of Al2HAuSe.

Cell: 4.988 4.988 3.192 Å, 90.00 90.00 90.00°
Space group P4/mmm (No. 123)
Inequivalent atoms, fractional coordinates:
Al1 0.000 0.500 0.000
H1 0.000 0.000 0.500
Au1 0.500 0.500 0.500
Se1 0.000 0.000 0.000

* E: -18.67 eV per cell

---

The following is a DFT calculation (PBEsol) of a relaxed structure of Hf2Al2Au.

Cell: 6.495 6.495 4.247 Å, 90.00 90.00 90.00°
Space group P4/mbm (No. 127)
Inequivalent atoms, fractional coordinates:
Hf1 0.163 0.337 0.000
Al1 0.138 0.638 0.500
Au1 0.000 0.000 0.500

* E: -71.39 eV per cell
* formation energy: -0.5163 eV/atom

---

The following is a DFT calculation (PBEsol) of a relaxed structure of Hf3AlAu2.

Cell: 12.130 12.130 12.130 Å, 90.00 90.00 90.00°
Space group Fd-3m (No. 227, origin choice 2)
Inequivalent atoms, fractional coordinates:
Hf1 0.070 0.375 0.375
Al1 0.000 0.000 0.500
Au1 0.037 0.037 0.713

* E: -740.12 eV per cell
* formation energy: -0.4681 eV/atom

---

The following is a DFT calculation (PBEsol) of a relaxed structure of HfAlTcAu2.

Cell: 4.546 4.546 4.528 Å, 90.00 90.00 90.00°
Space group P4/mmm (No. 123)
Inequivalent atoms, fractional coordinates:
Hf1 0.000 0.000 0.000
Al1 0.500 0.500 0.500
Tc1 0.500 0.500 0.000
Au1 0.000 0.500 0.500

* E: -30.83 eV per cell
* formation energy: 0.5754 eV/atom

---

The following is a DFT calculation (PBEsol) of a relaxed structure of AlHg2Au.

Cell: 3.231 5.299 9.086 Å, 90.00 90.00 90.00°
Space group Immm (No. 71)
Inequivalent atoms, fractional coordinates:
Al1 0.000 0.000 0.000
Hg1 0.000 0.500 0.257
Au1 0.000 0.000 0.500

* E: -17.75 eV per cell
* formation energy: 0.0684 eV/atom

---

> Which value of E does entry 7 give?

-30.83 eV per cell